# 1
# La2Y3Th

A relaxed La2Y3Th crystal (GGA-PBE, Alexandria via LeMat-Bulk).

The structure in extended XYZ format:
```
12
Lattice="4.575 -4.988 0.000 4.575 4.988 0.000 -1.866 0.000 9.005" Properties=species:S:1:pos:R:3 pbc="T T T"
La 1.788 2.513 7.886
La 4.563 2.513 5.621
La 2.721 -2.513 3.384
La 5.496 -2.513 1.119
Y 1.327 0.822 4.492
Y 0.394 -0.822 8.995
Y 4.108 0.836 2.251
Y 3.175 -0.836 6.754
Y 6.889 0.822 0.010
Y 5.956 -0.822 4.513
Th 4.108 4.164 2.251
Th 3.175 -4.164 6.754
```

ΔE to the lowest computed polymorph (meV/atom): 0
ΔE_f (eV per formula unit): 0.63
Density of states at the Fermi level (states/eV/f.u.): 9.5
SG: C2/c (15)
V (Å³/cell): 411.00

***

# 2
# CaLaSn4

A relaxed CaLaSn4 crystal (GGA-PBE, Alexandria via LeMat-Bulk).

The structure in extended XYZ format:
```
6
Lattice="0.000 4.437 4.437 4.437 0.000 4.437 4.437 4.437 0.000" Properties=species:S:1:pos:R:3 pbc="T T T"
Ca 0.000 0.000 0.000
La 6.656 6.656 6.656
Sn 3.327 3.327 3.327
Sn 5.547 5.547 3.327
Sn 5.547 3.327 5.547
Sn 3.327 5.547 5.547
```

ΔE to the lowest computed polymorph (meV/atom): 118
ΔE_f (eV per formula unit): -2.52
Density of states at the Fermi level (states/eV/f.u.): 5.8
SG: F-43m (216)
V (Å³/cell): 174.70

***

# 3
# Nb2TlAsPb

A relaxed Nb2TlAsPb crystal (GGA-PBE, Alexandria via LeMat-Bulk).

The structure in extended XYZ format:
```
5
Lattice="5.416 0.000 0.000 0.000 5.416 0.000 0.000 0.000 5.581" Properties=species:S:1:pos:R:3 pbc="T T T"
Nb 0.000 2.708 0.000
Nb 2.708 0.000 0.000
Tl 0.000 0.000 2.790
As 2.708 2.708 2.790
Pb 0.000 0.000 0.000
```

ΔE_f (eV per formula unit): 8.74
Density of states at the Fermi level (states/eV/f.u.): 4.2
SG: P4/mmm (123)
V (Å³/cell): 163.72

***

# 4
# Ac3AgTe5

A relaxed Ac3AgTe5 crystal (GGA-PBE, Alexandria via LeMat-Bulk).

The structure in extended XYZ format:
```
18
Lattice="-4.442 4.442 7.820 4.442 -4.442 7.820 4.442 4.442 -7.820" Properties=species:S:1:pos:R:3 pbc="T T T"
Ac 5.767 1.325 0.000
Ac 0.000 0.000 3.910
Ac 1.325 3.117 0.000
Ac 3.117 1.325 7.820
Ac 0.000 0.000 11.730
Ac -1.325 3.117 7.820
Ag 4.442 0.000 3.910
Ag 0.000 4.442 3.910
Te 0.000 0.000 0.000
Te 2.920 1.522 -2.246
Te 2.920 -1.522 5.574
Te 2.920 1.522 2.246
Te 2.920 -1.522 10.066
Te 0.000 0.000 7.820
Te 1.522 5.964 -2.246
Te 1.522 2.920 5.574
Te 1.522 5.964 2.246
Te 1.522 2.920 10.066
```

Formation energy (no corrections) (eV/atom): -1.250
SG: I4/mcm (140)
V (Å³/cell): 617.15

***

# 5
# GaTeO2F

A relaxed GaTeO2F crystal (GGA-PBE, Alexandria via LeMat-Bulk).

The structure in extended XYZ format:
```
5
Lattice="3.896 0.000 0.000 0.000 3.896 0.000 0.000 0.000 5.720" Properties=species:S:1:pos:R:3 pbc="T T T"
Ga 0.000 0.000 0.000
Te 0.000 0.000 2.860
O 0.000 1.948 2.860
O 1.948 0.000 2.860
F 1.948 1.948 0.000
```

Density of states at the Fermi level (states/eV/f.u.): 0.3
Formation energy (no corrections) (eV/atom): -0.788
SG: P4/mmm (123)
V (Å³/cell): 86.84

***

# 6
# PmPaTc4

A relaxed PmPaTc4 crystal (GGA-PBE, Alexandria via LeMat-Bulk).

The structure in extended XYZ format:
```
6
Lattice="0.000 3.836 3.836 3.836 0.000 3.836 3.836 3.836 0.000" Properties=species:S:1:pos:R:3 pbc="T T T"
Pm 0.000 0.000 0.000
Pa 1.918 1.918 1.918
Tc 4.795 2.877 2.877
Tc 2.877 4.795 2.877
Tc 2.877 2.877 4.795
Tc 4.795 4.795 4.795
```

ΔE_f (eV per formula unit): -0.15
Density of states at the Fermi level (states/eV/f.u.): 13.7
SG: F-43m (216)
V (Å³/cell): 112.90

***

# 7
# K2Ca2Ta

A relaxed K2Ca2Ta crystal (GGA-PBE, Alexandria via LeMat-Bulk).

The structure in extended XYZ format:
```
5
Lattice="-2.226 2.226 10.306 2.226 -2.226 10.306 2.226 2.226 -10.306" Properties=species:S:1:pos:R:3 pbc="T T T"
K 2.226 0.000 5.153
K 0.000 2.226 5.153
Ca 0.000 0.000 1.616
Ca 0.000 0.000 18.996
Ta 0.000 0.000 10.306
```

ΔE to the lowest computed polymorph (meV/atom): 126
ΔE_f (eV per formula unit): 5.69
Density of states at the Fermi level (states/eV/f.u.): 5.9
SG: I4/mmm (139)
V (Å³/cell): 204.32

***

# 8
# TaCdCl4

A relaxed TaCdCl4 crystal (GGA-PBE, Alexandria via LeMat-Bulk).

The structure in extended XYZ format:
```
6
Lattice="0.000 4.068 4.068 4.068 0.000 4.068 4.068 4.068 0.000" Properties=species:S:1:pos:R:3 pbc="T T T"
Ta 0.000 0.000 0.000
Cd 6.102 6.102 6.102
Cl 3.041 3.041 3.041
Cl 5.095 5.095 3.041
Cl 5.095 3.041 5.095
Cl 3.041 5.095 5.095
```

ΔE to the lowest computed polymorph (meV/atom): 1847
Density of states at the Fermi level (states/eV/f.u.): 5.9
Formation energy (no corrections) (eV/atom): 0.910
SG: F-43m (216)
V (Å³/cell): 134.63

***

# 9
# PdPtAuS2

A relaxed PdPtAuS2 crystal (GGA-PBE, Alexandria via LeMat-Bulk).

The structure in extended XYZ format:
```
5
Lattice="4.478 0.000 0.000 0.000 4.478 0.000 0.000 0.000 5.176" Properties=species:S:1:pos:R:3 pbc="T T T"
Pd 0.000 0.000 0.000
Pt 0.000 0.000 2.588
Au 2.239 2.239 2.588
S 0.000 2.239 0.000
S 2.239 0.000 0.000
```

Density of states at the Fermi level (states/eV/f.u.): 7.5
Formation energy (no corrections) (eV/atom): 0.872
SG: P4/mmm (123)
V (Å³/cell): 103.82

***

# 10
# Tb6PrTm6

A relaxed Tb6PrTm6 crystal (GGA-PBE, Alexandria via LeMat-Bulk).

The structure in extended XYZ format:
```
13
Lattice="6.628 0.000 0.000 -3.314 5.740 0.000 0.000 0.000 11.353" Properties=species:S:1:pos:R:3 pbc="T T T"
Tb 0.000 0.000 1.727
Tb 0.000 0.000 9.626
Tb 0.000 3.827 0.000
Tb 0.000 3.827 5.676
Tb 3.314 1.913 0.000
Tb 3.314 1.913 5.676
Pr 0.000 0.000 5.676
Tm -1.657 2.870 2.898
Tm -1.657 2.870 8.455
Tm 3.314 0.000 2.898
Tm 3.314 0.000 8.455
Tm 1.657 2.870 2.898
Tm 1.657 2.870 8.455
```

ΔE_f (eV per formula unit): 3.45
Density of states at the Fermi level (states/eV/f.u.): 24.8
SG: P6/mmm (191)
V (Å³/cell): 431.94

***

# 11
# ScNbIn2Os

A relaxed ScNbIn2Os crystal (GGA-PBE, Alexandria via LeMat-Bulk).

The structure in extended XYZ format:
```
5
Lattice="5.274 0.000 0.000 0.000 5.274 0.000 0.000 0.000 4.684" Properties=species:S:1:pos:R:3 pbc="T T T"
Sc 0.000 0.000 0.000
Nb 0.000 0.000 2.342
In 0.000 2.637 2.342
In 2.637 0.000 2.342
Os 2.637 2.637 0.000
```

ΔE_f (eV per formula unit): 8.04
Density of states at the Fermi level (states/eV/f.u.): 6.0
SG: P4/mmm (123)
V (Å³/cell): 130.27

***

# 12
# Zr3CrTc

A relaxed Zr3CrTc crystal (GGA-PBE, Alexandria via LeMat-Bulk).

The structure in extended XYZ format:
```
5
Lattice="4.735 0.000 0.000 0.000 4.735 0.000 0.000 0.000 4.735" Properties=species:S:1:pos:R:3 pbc="T T T"
Zr 0.000 0.000 2.367
Zr 0.000 2.367 0.000
Zr 2.367 0.000 0.000
Cr 0.000 0.000 0.000
Tc 2.367 2.367 2.367
```

ΔE to the lowest computed polymorph (meV/atom): 108
ΔE_f (eV per formula unit): 4.14
Density of states at the Fermi level (states/eV/f.u.): 8.3
SG: Pm-3m (221)
V (Å³/cell): 106.15

***

# 13
# Co2ReS2

A relaxed Co2ReS2 crystal (GGA-PBE, Alexandria via LeMat-Bulk).

The structure in extended XYZ format:
```
5
Lattice="-1.776 1.776 5.130 1.776 -1.776 5.130 1.776 1.776 -5.130" Properties=species:S:1:pos:R:3 pbc="T T T"
Co 0.000 0.000 1.194
Co 0.000 0.000 9.067
Re 0.000 0.000 5.130
S 1.776 0.000 2.565
S 0.000 1.776 2.565
```

ΔE to the lowest computed polymorph (meV/atom): 209
Density of states at the Fermi level (states/eV/f.u.): 7.8
Formation energy (no corrections) (eV/atom): 0.699
SG: I4/mmm (139)
V (Å³/cell): 64.70